Entry 1:
{"formula": "KAuBr3", "functional": "GGA-PBE", "state": "optimized geometry", "n_ef_per_ev_cell": 1.00, "energy_ev_per_atom": -2.644, "volume_a3_per_atom": 31.584, "cell": [[5.406, 0.003, 0.001], [-0.003, 5.407, 0.008], [-0.001, -0.006, 5.403]], "species": ["K", "Au", "Br", "Br", "Br"], "frac_coords": [[0.001, 0.002, 0.000], [0.500, 0.514, 0.502], [0.000, 0.515, 0.503], [0.499, 0.014, 0.502], [0.500, 0.515, 0.002]]}

***

Entry 2:
{"formula": "K3Au2Br", "functional": "GGA-PBE", "state": "optimized geometry", "n_ef_per_ev_cell": 0.00, "energy_ev_per_atom": -2.670, "volume_a3_per_atom": 38.488, "cell": [[-1.893, -0.917, 4.281], [4.197, -1.708, 1.490], [1.501, 10.585, 0.273]], "species": ["K", "K", "K", "Au", "Au", "Br"], "frac_coords": [[0.934, 0.936, 0.874], [0.271, 0.272, 0.546], [0.598, 0.599, 0.202], [0.103, 0.104, 0.211], [0.766, 0.767, 0.537], [0.434, 0.436, 0.874]]}

***

Entry 3:
{"formula": "K3AuBr6", "functional": "GGA-PBE", "state": "optimized geometry", "de_polymorph_ev_per_atom": 0.094, "n_ef_per_ev_cell": 6.62, "energy_ev_per_atom": -2.680, "volume_a3_per_atom": 36.558, "cell": [[9.007, 0.257, 0.263], [0.062, 9.011, 0.263], [0.062, 0.063, 9.014]], "species": ["K", "K", "K", "K", "K", "K", "Au", "Au", "Br", "Br", "Br", "Br", "Br", "Br", "Br", "Br", "Br", "Br", "Br", "Br"], "frac_coords": [[0.443, 0.904, 0.790], [0.904, 0.790, 0.443], [0.210, 0.557, 0.096], [0.790, 0.443, 0.904], [0.096, 0.210, 0.557], [0.557, 0.096, 0.210], [0.000, 0.000, 0.000], [0.500, 0.500, 0.500], [0.261, 0.914, 0.120], [0.086, 0.880, 0.739], [0.531, 0.798, 0.463], [0.880, 0.739, 0.086], [0.463, 0.531, 0.798], [0.202, 0.537, 0.469], [0.798, 0.463, 0.531], [0.537, 0.469, 0.202], [0.120, 0.261, 0.914], [0.469, 0.202, 0.537], [0.914, 0.120, 0.261], [0.739, 0.086, 0.880]]}

***

Entry 4:
{"formula": "K2AuBr", "functional": "GGA-PBE", "state": "optimized geometry", "de_polymorph_ev_per_atom": 0.044, "n_ef_per_ev_cell": 0.00, "energy_ev_per_atom": -2.763, "volume_a3_per_atom": 38.275, "cell": [[-1.606, -0.632, -4.298], [-3.391, -3.057, -0.779], [-7.277, 4.682, -0.464]], "species": ["K", "K", "Au", "Br"], "frac_coords": [[0.084, 0.084, 0.747], [0.249, 0.249, 0.253], [0.667, 0.667, 0.999], [0.500, 0.500, 0.501]]}

***

Entry 5:
{"formula": "K2AuBr", "functional": "GGA-PBE", "state": "optimized geometry", "de_polymorph_ev_per_atom": 0.021, "n_ef_per_ev_cell": 0.00, "energy_ev_per_atom": -2.785, "volume_a3_per_atom": 38.308, "cell": [[-0.467, -0.854, -4.647], [-2.547, -3.713, -1.504], [-7.448, 2.992, -2.210]], "species": ["K", "K", "Au", "Br"], "frac_coords": [[0.997, 0.997, 0.007], [0.503, 0.503, 0.493], [0.750, 0.750, 0.750], [0.250, 0.250, 0.250]]}

***

Entry 6:
{"formula": "KAu2Br6", "functional": "GGA-PBE", "state": "optimized geometry", "de_polymorph_ev_per_atom": 0.006, "n_ef_per_ev_cell": 4.65, "energy_ev_per_atom": -2.415, "volume_a3_per_atom": 38.223, "cell": [[6.129, 2.035, 1.970], [4.463, 12.308, -1.157], [4.463, -0.758, 12.339]], "species": ["K", "K", "Au", "Au", "Au", "Au", "Br", "Br", "Br", "Br", "Br", "Br", "Br", "Br", "Br", "Br", "Br", "Br"], "frac_coords": [[0.250, 0.255, 0.745], [0.750, 0.745, 0.255], [0.145, 0.674, 0.817], [0.355, 0.183, 0.326], [0.855, 0.326, 0.183], [0.645, 0.817, 0.674], [0.661, 0.695, 0.515], [0.839, 0.485, 0.305], [0.339, 0.305, 0.485], [0.161, 0.515, 0.695], [0.868, 0.898, 0.511], [0.632, 0.489, 0.102], [0.132, 0.102, 0.489], [0.368, 0.511, 0.898], [0.245, 0.814, 0.883], [0.255, 0.117, 0.186], [0.755, 0.186, 0.117], [0.745, 0.883, 0.814]]}

***

Entry 7:
{"formula": "K3AuBr6", "functional": "GGA-PBE", "state": "optimized geometry", "de_polymorph_ev_per_atom": 0.160, "n_ef_per_ev_cell": 5.62, "energy_ev_per_atom": -2.615, "volume_a3_per_atom": 37.960, "cell": [[7.825, -2.016, -0.867], [3.754, -4.299, 5.787], [2.074, -7.735, -1.384]], "species": ["K", "K", "K", "Au", "Br", "Br", "Br", "Br", "Br", "Br"], "frac_coords": [[0.750, 0.750, 0.750], [0.250, 0.250, 0.250], [0.500, 0.500, 0.500], [0.000, 0.000, 0.000], [0.231, 0.769, 0.231], [0.769, 0.231, 0.231], [0.769, 0.231, 0.769], [0.231, 0.231, 0.769], [0.769, 0.769, 0.231], [0.231, 0.769, 0.769]]}

***

Entry 8:
{"formula": "K3AuBr", "functional": "GGA-PBE", "state": "optimized geometry", "de_polymorph_ev_per_atom": 0.166, "n_ef_per_ev_cell": 3.87, "energy_ev_per_atom": -2.257, "volume_a3_per_atom": 47.620, "cell": [[-5.088, -1.652, 3.131], [-1.820, -3.481, -4.794], [3.036, -4.855, 2.373]], "species": ["K", "K", "K", "Au", "Br"], "frac_coords": [[0.000, 0.500, 0.000], [0.000, 0.000, 0.500], [0.500, 0.000, 0.000], [0.500, 0.500, 0.500], [0.000, 0.000, 0.000]]}

***

Entry 9:
{"formula": "K5Au2Br2", "functional": "GGA-PBE", "state": "optimized geometry", "n_ef_per_ev_cell": 2.14, "energy_ev_per_atom": -2.597, "volume_a3_per_atom": 42.222, "cell": [[-2.750, 3.238, 2.039], [-1.458, -4.470, -0.312], [8.326, -3.938, 17.486]], "species": ["K", "K", "K", "K", "K", "Au", "Au", "Br", "Br"], "frac_coords": [[0.000, 0.000, 0.000], [0.667, 0.333, 0.804], [0.333, 0.667, 0.196], [0.667, 0.333, 0.400], [0.333, 0.667, 0.600], [0.000, 0.000, 0.302], [0.000, 0.000, 0.698], [0.667, 0.333, 0.098], [0.333, 0.667, 0.902]]}

***

Entry 10:
{"formula": "K7AuBr5", "functional": "GGA-PBE", "state": "optimized geometry", "n_ef_per_ev_cell": 6.98, "energy_ev_per_atom": -2.844, "volume_a3_per_atom": 39.854, "cell": [[4.658, 0.000, 0.000], [-2.329, 7.882, 0.006], [0.000, -0.044, 28.224]], "species": ["K", "K", "K", "K", "K", "K", "K", "K", "K", "K", "K", "K", "K", "K", "Au", "Au", "Br", "Br", "Br", "Br", "Br", "Br", "Br", "Br", "Br", "Br"], "frac_coords": [[0.450, 0.900, 0.250], [0.550, 0.101, 0.750], [0.636, 0.272, 0.036], [0.365, 0.729, 0.964], [0.365, 0.729, 0.536], [0.636, 0.272, 0.464], [0.186, 0.372, 0.178], [0.814, 0.629, 0.822], [0.815, 0.630, 0.678], [0.186, 0.371, 0.322], [0.910, 0.821, 0.108], [0.090, 0.180, 0.892], [0.091, 0.181, 0.608], [0.910, 0.820, 0.392], [0.792, 0.584, 0.250], [0.209, 0.418, 0.750], [0.000, 0.001, 0.000], [0.726, 0.452, 0.928], [0.274, 0.549, 0.072], [0.544, 0.088, 0.357], [0.457, 0.913, 0.643], [0.000, 0.000, 0.500], [0.274, 0.548, 0.428], [0.726, 0.453, 0.572], [0.456, 0.913, 0.857], [0.544, 0.089, 0.143]]}

***

Entry 11:
{"formula": "K2Au2Br", "functional": "GGA-PBE", "state": "optimized geometry", "n_ef_per_ev_cell": 0.89, "energy_ev_per_atom": -2.588, "volume_a3_per_atom": 34.559, "cell": [[-5.315, 3.310, -1.268], [0.828, -1.062, -6.245], [-4.528, -2.427, -3.455]], "species": ["K", "K", "Au", "Au", "Br"], "frac_coords": [[0.750, 0.250, 0.500], [0.250, 0.750, 0.500], [0.343, 0.343, 0.314], [0.657, 0.657, 0.686], [0.000, 0.000, 0.000]]}

***

Entry 12:
{"formula": "K3AuBr", "functional": "GGA-PBE", "state": "optimized geometry", "de_polymorph_ev_per_atom": 0.000, "n_ef_per_ev_cell": 7.63, "energy_ev_per_atom": -2.424, "volume_a3_per_atom": 39.693, "cell": [[4.758, 0.000, 0.000], [0.000, 8.759, 0.000], [0.000, 0.000, 19.048]], "species": ["K", "K", "K", "K", "K", "K", "K", "K", "K", "K", "K", "K", "Au", "Au", "Au", "Au", "Br", "Br", "Br", "Br"], "frac_coords": [[0.250, 0.371, 0.570], [0.750, 0.845, 0.218], [0.750, 0.484, 0.885], [0.750, 0.984, 0.615], [0.750, 0.629, 0.430], [0.250, 0.016, 0.385], [0.250, 0.871, 0.930], [0.750, 0.345, 0.282], [0.250, 0.655, 0.718], [0.250, 0.155, 0.782], [0.750, 0.129, 0.070], [0.250, 0.516, 0.115], [0.750, 0.864, 0.798], [0.250, 0.136, 0.202], [0.750, 0.364, 0.702], [0.250, 0.636, 0.298], [0.250, 0.260, 0.960], [0.250, 0.760, 0.540], [0.750, 0.240, 0.460], [0.750, 0.740, 0.040]]}

***

Entry 13:
{"formula": "K2AuBr", "functional": "GGA-PBE", "state": "optimized geometry", "de_polymorph_ev_per_atom": 0.000, "energy_ev_per_atom": -2.807, "volume_a3_per_atom": 35.896, "cell": [[4.789, 0.000, 0.000], [0.000, 4.583, -0.814], [0.000, -0.039, 13.090]], "species": ["K", "K", "K", "K", "Au", "Au", "Br", "Br"], "frac_coords": [[0.750, 0.682, 0.363], [0.250, 0.318, 0.637], [0.750, 0.937, 0.873], [0.250, 0.063, 0.127], [0.250, 0.464, 0.929], [0.750, 0.536, 0.071], [0.250, 0.189, 0.377], [0.750, 0.811, 0.623]]}

***

Entry 14:
{"formula": "K2AuBr", "functional": "GGA-PBE", "state": "optimized geometry", "de_polymorph_ev_per_atom": 0.066, "n_ef_per_ev_cell": 0.00, "energy_ev_per_atom": -2.741, "volume_a3_per_atom": 32.918, "cell": [[-3.199, -4.434, -1.647], [-5.088, 0.897, -2.432], [-0.738, -1.080, -5.559]], "species": ["K", "K", "Au", "Br"], "frac_coords": [[0.250, 0.250, 0.250], [0.750, 0.750, 0.750], [0.500, 0.500, 0.500], [0.000, 0.000, 0.000]]}

***

Entry 15:
{"formula": "K2AuBr", "functional": "GGA-PBE", "state": "optimized geometry", "de_polymorph_ev_per_atom": 0.062, "n_ef_per_ev_cell": 0.00, "energy_ev_per_atom": -2.745, "volume_a3_per_atom": 37.717, "cell": [[-2.441, -0.259, 8.349], [-5.467, -4.432, 5.118], [6.160, 0.338, -6.137]], "species": ["K", "K", "Au", "Br"], "frac_coords": [[0.048, 0.048, 0.000], [0.791, 0.291, 0.500], [0.455, 0.455, 0.000], [0.206, 0.706, 0.500]]}

***

Entry 16:
{"formula": "K2AuBr", "functional": "GGA-PBE", "state": "optimized geometry", "de_polymorph_ev_per_atom": 0.363, "n_ef_per_ev_cell": 0.00, "energy_ev_per_atom": -2.444, "volume_a3_per_atom": 32.366, "cell": [[5.678, 0.000, 0.000], [2.839, 4.918, 0.000], [2.839, 1.639, 4.636]], "species": ["Au", "Br", "K", "K"], "frac_coords": [[0.500, 0.500, 0.500], [0.750, 0.750, 0.750], [0.000, 0.000, 0.000], [0.250, 0.250, 0.250]]}

***

Entry 17:
{"formula": "K3AuBr2", "functional": "GGA-PBE", "state": "optimized geometry", "n_ef_per_ev_cell": 0.00, "energy_ev_per_atom": -2.900, "volume_a3_per_atom": 38.061, "cell": [[4.636, 0.000, -1.056], [-0.240, 4.629, -1.057], [-0.012, -0.011, 10.647]], "species": ["K", "K", "K", "Au", "Br", "Br"], "frac_coords": [[0.934, 0.936, 0.874], [0.266, 0.267, 0.537], [0.603, 0.604, 0.211], [0.434, 0.436, 0.874], [0.101, 0.102, 0.207], [0.768, 0.769, 0.541]]}

***

Entry 18:
{"formula": "KAu2Br6", "functional": "GGA-PBE", "state": "optimized geometry", "de_polymorph_ev_per_atom": 0.000, "n_ef_per_ev_cell": 8.54, "energy_ev_per_atom": -2.421, "volume_a3_per_atom": 38.321, "cell": [[-3.570, -7.207, -1.638], [-2.591, -3.512, 8.552], [-9.432, 1.672, 0.653]], "species": ["K", "K", "Au", "Au", "Au", "Au", "Br", "Br", "Br", "Br", "Br", "Br", "Br", "Br", "Br", "Br", "Br", "Br"], "frac_coords": [[0.250, 0.159, 0.841], [0.750, 0.841, 0.159], [0.143, 0.747, 0.747], [0.357, 0.253, 0.253], [0.857, 0.253, 0.253], [0.643, 0.747, 0.747], [0.392, 0.881, 0.612], [0.108, 0.388, 0.119], [0.608, 0.119, 0.388], [0.892, 0.612, 0.881], [0.841, 0.702, 0.513], [0.659, 0.487, 0.298], [0.159, 0.298, 0.487], [0.341, 0.513, 0.702], [0.950, 0.985, 0.799], [0.550, 0.201, 0.015], [0.050, 0.015, 0.201], [0.450, 0.799, 0.985]]}

***

Entry 19:
{"formula": "KAuBr3", "functional": "GGA-PBE", "state": "optimized geometry", "n_ef_per_ev_cell": 8.85, "energy_ev_per_atom": -1.693, "volume_a3_per_atom": 43.977, "cell": [[6.036, 0.000, 0.000], [0.000, 6.036, 0.000], [0.000, 0.000, 6.036]], "species": ["K", "Au", "Br", "Br", "Br"], "frac_coords": [[0.000, 0.000, 0.000], [0.500, 0.500, 0.500], [0.000, 0.500, 0.000], [0.000, 0.000, 0.500], [0.500, 0.000, 0.000]]}